# LiPmTiIr PBE-GGA optimized geometry
# - DFT formation energy (meV per atom) = -257.6
data_LiPmTiIr
_cell_length_a 4.746
_cell_length_b 4.746
_cell_length_c 4.746
_cell_angle_alpha 60.00
_cell_angle_beta 60.00
_cell_angle_gamma 60.00
_space_group_name_H-M_alt 'P 1'
_space_group_IT_number 1
_space_group_name_Hall 'P 1'
loop_
_atom_site_label
_atom_site_fract_x
_atom_site_fract_y
_atom_site_fract_z
_atom_site_occupancy
Li1 0.500 0.500 0.500 1
Pm1 0.750 0.750 0.750 1
Ti1 0.250 0.250 0.250 1
Ir1 0.000 0.000 0.000 1